(1)
# PBE-GGA CaCd9Ag2, relaxed
data_CaCd9Ag2
_symmetry_space_group_name_H-M 'P 1'
_symmetry_Int_Tables_number 1
_cell_length_a 9.584
_cell_length_b 9.584
_cell_length_c 3.382
_cell_angle_alpha 90.00
_cell_angle_beta 90.00
_cell_angle_gamma 120.00
loop_
_symmetry_equiv_pos_as_xyz
'x,y,z'
loop_
_atom_site_label
_atom_site_type_symbol
_atom_site_fract_x
_atom_site_fract_y
_atom_site_fract_z
Ca1 Ca 0.000 0.000 0.000
Cd1 Cd 0.000 0.500 0.000
Cd2 Cd 0.181 0.363 0.500
Cd3 Cd 0.181 0.819 0.500
Cd4 Cd 0.363 0.181 0.500
Cd5 Cd 0.500 0.000 0.000
Cd6 Cd 0.500 0.500 0.000
Cd7 Cd 0.637 0.819 0.500
Cd8 Cd 0.819 0.181 0.500
Cd9 Cd 0.819 0.637 0.500
Ag1 Ag 0.333 0.667 0.000
Ag2 Ag 0.667 0.333 0.000
# * N(E_F): 0.356 states/eV per atom
# * raw total energy: -1.43 eV/atom
# * ΔE_f: -120.9 kJ/mol of formula units


(2)
# PBE-GGA P2PtPbO8, relaxed
data_P2PtPbO8
_symmetry_space_group_name_H-M 'P 1'
_symmetry_Int_Tables_number 1
_cell_length_a 8.125
_cell_length_b 8.125
_cell_length_c 8.125
_cell_angle_alpha 34.22
_cell_angle_beta 34.22
_cell_angle_gamma 34.22
loop_
_symmetry_equiv_pos_as_xyz
'x,y,z'
loop_
_atom_site_label
_atom_site_type_symbol
_atom_site_fract_x
_atom_site_fract_y
_atom_site_fract_z
P1 P 0.241 0.241 0.241
P2 P 0.759 0.759 0.759
Pt1 Pt 0.500 0.500 0.500
Pb1 Pb 0.000 0.000 0.000
O1 O 0.098 0.475 0.765
O2 O 0.235 0.902 0.525
O3 O 0.308 0.308 0.308
O4 O 0.475 0.765 0.098
O5 O 0.525 0.235 0.902
O6 O 0.692 0.692 0.692
O7 O 0.765 0.098 0.475
O8 O 0.902 0.525 0.235
# * N(E_F): 0.000 states/eV per atom
# * raw total energy: -6.62 eV/atom
# * formation energy without anion corrections: -19.2 eV/f.u.


(3)
# PBE-GGA LiSiGeHF, relaxed
data_LiSiGeHF
_symmetry_space_group_name_H-M 'P 1'
_symmetry_Int_Tables_number 1
_cell_length_a 3.182
_cell_length_b 3.254
_cell_length_c 9.283
_cell_angle_alpha 91.32
_cell_angle_beta 99.62
_cell_angle_gamma 114.55
loop_
_symmetry_equiv_pos_as_xyz
'x,y,z'
loop_
_atom_site_label
_atom_site_type_symbol
_atom_site_fract_x
_atom_site_fract_y
_atom_site_fract_z
Li1 Li 0.000 0.000 0.000
Si1 Si 0.962 0.483 0.452
Ge1 Ge 0.716 0.903 0.621
H1 H 0.858 0.437 0.287
F1 F 0.347 0.649 0.005
# * N(E_F): 0.051 states/eV per atom
# * raw total energy: -4.30 eV/atom


(4)
# PBE-GGA Na2NbSi, relaxed
data_Na2NbSi
_symmetry_space_group_name_H-M 'P 1'
_symmetry_Int_Tables_number 1
_cell_length_a 4.913
_cell_length_b 4.913
_cell_length_c 4.913
_cell_angle_alpha 60.00
_cell_angle_beta 60.00
_cell_angle_gamma 60.00
loop_
_symmetry_equiv_pos_as_xyz
'x,y,z'
loop_
_atom_site_label
_atom_site_type_symbol
_atom_site_fract_x
_atom_site_fract_y
_atom_site_fract_z
Na1 Na 0.250 0.250 0.250
Na2 Na 0.750 0.750 0.750
Nb1 Nb 0.000 0.000 0.000
Si1 Si 0.500 0.500 0.500
# * N(E_F): 0.233 states/eV per atom
# * raw total energy: -3.56 eV/atom
# * formation energy without anion corrections: 3.9 eV/f.u.


(5)
# PBE-GGA BaSrZnSi, relaxed
data_BaSrZnSi
_symmetry_space_group_name_H-M 'P 1'
_symmetry_Int_Tables_number 1
_cell_length_a 5.596
_cell_length_b 5.596
_cell_length_c 5.596
_cell_angle_alpha 60.00
_cell_angle_beta 60.00
_cell_angle_gamma 60.00
loop_
_symmetry_equiv_pos_as_xyz
'x,y,z'
loop_
_atom_site_label
_atom_site_type_symbol
_atom_site_fract_x
_atom_site_fract_y
_atom_site_fract_z
Ba1 Ba 0.000 0.000 0.000
Sr1 Sr 0.500 0.500 0.500
Zn1 Zn 0.250 0.250 0.250
Si1 Si 0.750 0.750 0.750
# * N(E_F): 0.169 states/eV per atom
# * raw total energy: -2.81 eV/atom
# * formation energy without anion corrections: -1.0 eV/f.u.


(6)
# PBE-GGA KLi2MoRu, relaxed
data_KLi2MoRu
_symmetry_space_group_name_H-M 'P 1'
_symmetry_Int_Tables_number 1
_cell_length_a 5.126
_cell_length_b 5.126
_cell_length_c 5.977
_cell_angle_alpha 90.00
_cell_angle_beta 90.00
_cell_angle_gamma 90.00
loop_
_symmetry_equiv_pos_as_xyz
'x,y,z'
loop_
_atom_site_label
_atom_site_type_symbol
_atom_site_fract_x
_atom_site_fract_y
_atom_site_fract_z
K1 K 0.000 0.000 0.000
Li1 Li 0.000 0.500 0.500
Li2 Li 0.500 0.000 0.500
Mo1 Mo 0.000 0.000 0.500
Ru1 Ru 0.500 0.500 0.000
# * N(E_F): 0.358 states/eV per atom
# * raw total energy: -2.94 eV/atom
# * ΔE_f: 997.0 kJ/mol of formula units


(7)
# PBE-GGA DyIn6Ni3, relaxed
data_DyIn6Ni3
_symmetry_space_group_name_H-M 'P 1'
_symmetry_Int_Tables_number 1
_cell_length_a 11.020
_cell_length_b 3.418
_cell_length_c 11.655
_cell_angle_alpha 90.00
_cell_angle_beta 106.48
_cell_angle_gamma 90.00
loop_
_symmetry_equiv_pos_as_xyz
'x,y,z'
loop_
_atom_site_label
_atom_site_type_symbol
_atom_site_fract_x
_atom_site_fract_y
_atom_site_fract_z
Dy1 Dy 0.048 0.250 0.274
Dy2 Dy 0.952 0.750 0.726
In1 In 0.128 0.250 0.951
In2 In 0.205 0.750 0.494
In3 In 0.239 0.750 0.752
In4 In 0.266 0.750 0.194
In5 In 0.474 0.250 0.613
In6 In 0.488 0.250 0.118
In7 In 0.512 0.750 0.882
In8 In 0.526 0.750 0.387
In9 In 0.734 0.250 0.806
In10 In 0.761 0.250 0.248
In11 In 0.795 0.250 0.506
In12 In 0.872 0.750 0.049
Ni1 Ni 0.060 0.250 0.587
Ni2 Ni 0.322 0.750 0.989
Ni3 Ni 0.323 0.250 0.384
Ni4 Ni 0.677 0.750 0.616
Ni5 Ni 0.678 0.250 0.011
Ni6 Ni 0.940 0.750 0.413
# * N(E_F): 0.549 states/eV per atom
# * raw total energy: -3.92 eV/atom
# * ΔE_f: -82.8 kJ/mol of formula units


(8)
# PBE-GGA BaAl2Si, relaxed
data_BaAl2Si
_symmetry_space_group_name_H-M 'P 1'
_symmetry_Int_Tables_number 1
_cell_length_a 6.068
_cell_length_b 6.068
_cell_length_c 3.019
_cell_angle_alpha 90.00
_cell_angle_beta 90.00
_cell_angle_gamma 118.37
loop_
_symmetry_equiv_pos_as_xyz
'x,y,z'
loop_
_atom_site_label
_atom_site_type_symbol
_atom_site_fract_x
_atom_site_fract_y
_atom_site_fract_z
Ba1 Ba 0.000 0.000 0.000
Al1 Al 0.000 0.500 0.500
Al2 Al 0.500 0.000 0.500
Si1 Si 0.500 0.500 0.000
# * N(E_F): 0.295 states/eV per atom
# * raw total energy: -3.28 eV/atom
# * formation energy without anion corrections: 1.7 eV/f.u.


(9)
# PBE-GGA Re2AgW, relaxed
data_Re2AgW
_symmetry_space_group_name_H-M 'P 1'
_symmetry_Int_Tables_number 1
_cell_length_a 4.947
_cell_length_b 4.947
_cell_length_c 2.746
_cell_angle_alpha 90.00
_cell_angle_beta 90.00
_cell_angle_gamma 110.84
loop_
_symmetry_equiv_pos_as_xyz
'x,y,z'
loop_
_atom_site_label
_atom_site_type_symbol
_atom_site_fract_x
_atom_site_fract_y
_atom_site_fract_z
Re1 Re 0.000 0.500 0.000
Re2 Re 0.500 0.000 0.000
Ag1 Ag 0.000 0.000 0.500
W1 W 0.500 0.500 0.500
# * N(E_F): 0.793 states/eV per atom
# * raw total energy: -9.62 eV/atom
# * ΔE_f: 213.4 kJ/mol of formula units


(10)
# PBE-GGA Li2SmAuO4, relaxed
data_Li2SmAuO4
_symmetry_space_group_name_H-M 'P 1'
_symmetry_Int_Tables_number 1
_cell_length_a 4.955
_cell_length_b 4.955
_cell_length_c 4.955
_cell_angle_alpha 112.68
_cell_angle_beta 112.68
_cell_angle_gamma 103.22
loop_
_symmetry_equiv_pos_as_xyz
'x,y,z'
loop_
_atom_site_label
_atom_site_type_symbol
_atom_site_fract_x
_atom_site_fract_y
_atom_site_fract_z
Li1 Li 0.250 0.750 0.500
Li2 Li 0.750 0.250 0.500
Sm1 Sm 0.000 0.000 0.000
Au1 Au 0.500 0.500 0.000
O1 O 0.054 0.532 0.000
O2 O 0.468 0.468 0.522
O3 O 0.532 0.054 0.000
O4 O 0.946 0.946 0.478
# * N(E_F): 0.221 states/eV per atom
# * raw total energy: -5.52 eV/atom
# * formation energy without anion corrections: -12.5 eV/f.u.


(11)
# PBE-GGA HfZrCr2S6, relaxed
data_HfZrCr2S6
_symmetry_space_group_name_H-M 'P 1'
_symmetry_Int_Tables_number 1
_cell_length_a 6.808
_cell_length_b 6.808
_cell_length_c 6.808
_cell_angle_alpha 53.99
_cell_angle_beta 53.99
_cell_angle_gamma 53.99
loop_
_symmetry_equiv_pos_as_xyz
'x,y,z'
loop_
_atom_site_label
_atom_site_type_symbol
_atom_site_fract_x
_atom_site_fract_y
_atom_site_fract_z
Hf1 Hf 0.000 0.000 0.000
Zr1 Zr 0.500 0.500 0.500
Cr1 Cr 0.326 0.326 0.326
Cr2 Cr 0.824 0.824 0.824
S1 S 0.075 0.427 0.725
S2 S 0.221 0.932 0.579
S3 S 0.427 0.725 0.075
S4 S 0.579 0.221 0.932
S5 S 0.725 0.075 0.427
S6 S 0.932 0.579 0.221
# * N(E_F): 0.671 states/eV per atom
# * raw total energy: -7.32 eV/atom
# * formation energy without anion corrections: -10.7 eV/f.u.


(12)
# PBE-GGA Pu4PdAu5, relaxed
data_Pu4PdAu5
_symmetry_space_group_name_H-M 'P 1'
_symmetry_Int_Tables_number 1
_cell_length_a 7.862
_cell_length_b 7.862
_cell_length_c 7.862
_cell_angle_alpha 147.44
_cell_angle_beta 100.68
_cell_angle_gamma 88.38
loop_
_symmetry_equiv_pos_as_xyz
'x,y,z'
loop_
_atom_site_label
_atom_site_type_symbol
_atom_site_fract_x
_atom_site_fract_y
_atom_site_fract_z
Pu1 Pu 0.244 0.244 0.000
Pu2 Pu 0.287 0.000 0.287
Pu3 Pu 0.713 0.000 0.713
Pu4 Pu 0.756 0.756 0.000
Pd1 Pd 0.000 0.000 0.000
Au1 Au 0.020 0.322 0.698
Au2 Au 0.376 0.678 0.698
Au3 Au 0.500 0.500 0.000
Au4 Au 0.624 0.322 0.302
Au5 Au 0.980 0.678 0.302
# * N(E_F): 5.281 states/eV per atom
# * raw total energy: -8.13 eV/atom
# * ΔE_f: -229.3 kJ/mol of formula units


M_tot (computed, Bohr magnetons per cell): 0.000, 0.000, 0.000, 3.000, 0.000, 7.051, 0.000, 0.000, 0.000, 0.000, 5.664, 22.701